First-principles (PBE) data for crystalline NaZnBiO3 at its relaxed geometry, as listed in Alexandria.

Output
The electronic total energy is -4.857 eV per atom. The calculation puts the energy relative to the elements, uncorrected at -1.299 eV per atom.

Structure (extended XYZ):
```
12
Lattice="6.6081 0.0000 0.0000 0.0000 3.3950 0.0000 -0.9510 0.0000 7.9926" Properties=species:S:1:pos:R:3 pbc="T T T"
Na 0.2421 0.8488 2.7599
Na 5.4150 2.5463 5.2328
Zn 0.0615 0.8488 7.5313
Zn 5.5955 2.5463 0.4614
Bi 2.2777 2.5463 5.4971
Bi 3.3794 0.8488 2.4955
O 1.1435 2.5463 0.5052
O 0.6590 0.8488 5.5878
O 1.8720 2.5463 3.3868
O 3.7850 0.8488 4.6059
O 4.9981 2.5463 2.4049
O 4.5135 0.8488 7.4874
```